VASP calculation (PBE) on K3BaSe after structural relaxation. Values from VASP.

energy above the most stable polymorph in this dataset = 0.992 eV/atom
energy = -1.142 eV per atom
total magnetic moment = 1.0 μB/f.u.
formation energy from raw total energies = 2.99 eV per formula unit

Quantum ESPRESSO input file:
```
&SYSTEM
  ibrav = 0, nat = 5, ntyp = 3
/
ATOMIC_SPECIES
Se 78.96 Se.upf
Ba 137.33 Ba.upf
K 39.10 K.upf
ATOMIC_POSITIONS angstrom
Se 3.7358 3.7358 3.7358
Ba 0.0000 0.0000 0.0000
K 3.7358 0.0000 0.0000
K 0.0000 0.0000 3.7358
K 0.0000 3.7358 0.0000
CELL_PARAMETERS angstrom
7.4716 0.0000 0.0000
0.0000 7.4716 0.0000
0.0000 0.0000 7.4716
```



VASP calculation (PBE) on K2BaSe after structural relaxation. Values from VASP.

energy = -2.647 eV per atom
total magnetic moment = 0.0 μB/f.u.
formation energy from raw total energies = -2.99 eV per formula unit

Quantum ESPRESSO input file:
```
&SYSTEM
  ibrav = 0, nat = 4, ntyp = 3
/
ATOMIC_SPECIES
Ba 137.33 Ba.upf
Se 78.96 Se.upf
K 39.10 K.upf
ATOMIC_POSITIONS angstrom
Ba -1.9096 0.7535 5.9460
Se -4.7166 2.1528 6.4477
K -0.2551 3.1449 2.1345
K -0.0985 0.0450 0.1346
CELL_PARAMETERS angstrom
-5.0650 5.4585 5.3744
-4.6216 -1.0372 7.8675
7.5502 -0.5358 -5.2000
```



VASP calculation (PBE) on K2BaSe after structural relaxation. Values from VASP.

energy = -2.485 eV per atom
total magnetic moment = 0.5 μB/f.u.
formation energy from raw total energies = -2.34 eV per formula unit

Quantum ESPRESSO input file:
```
&SYSTEM
  ibrav = 0, nat = 4, ntyp = 3
/
ATOMIC_SPECIES
K 39.10 K.upf
Ba 137.33 Ba.upf
Se 78.96 Se.upf
ATOMIC_POSITIONS angstrom
K 0.0000 0.0000 0.0000
K -2.9018 -0.8390 -6.6258
Ba -2.2020 1.9357 -3.2822
Se -3.5903 -1.1151 -2.2878
CELL_PARAMETERS angstrom
-1.5135 2.2118 -7.6202
-4.2902 -3.8898 -5.6315
0.0113 2.4985 7.6816
```



VASP calculation (PBE) on K2Ba2Se after structural relaxation. Values from VASP.

energy above the most stable polymorph in this dataset = 0.583 eV/atom
energy = -1.881 eV per atom
total magnetic moment = 0.1 μB/f.u.
formation energy from raw total energies = 0.12 eV per formula unit

Quantum ESPRESSO input file:
```
&SYSTEM
  ibrav = 0, nat = 5, ntyp = 3
/
ATOMIC_SPECIES
K 39.10 K.upf
Se 78.96 Se.upf
Ba 137.33 Ba.upf
ATOMIC_POSITIONS angstrom
K 1.6196 3.0470 11.0158
K -1.3645 0.7630 3.4938
Se 0.0000 0.0000 0.0000
Ba 0.3106 0.2145 7.6955
Ba -0.0555 3.5955 6.8141
CELL_PARAMETERS angstrom
-2.8106 3.7662 1.6122
-2.0783 -2.9956 3.3749
5.1440 3.0394 9.5226
```



VASP calculation (PBE) on K2Ba2Se after structural relaxation. Values from VASP.

energy above the most stable polymorph in this dataset = 0.302 eV/atom
energy = -2.161 eV per atom
total magnetic moment = 1.8 μB/f.u.
formation energy from raw total energies = -1.28 eV per formula unit

Quantum ESPRESSO input file:
```
&SYSTEM
  ibrav = 0, nat = 10, ntyp = 3
/
ATOMIC_SPECIES
Ba 137.33 Ba.upf
K 39.10 K.upf
Se 78.96 Se.upf
ATOMIC_POSITIONS angstrom
Ba 2.7661 1.5079 3.5842
Ba 1.5079 5.7819 3.5842
Ba 7.0401 2.7661 3.5842
Ba 5.7819 7.0401 3.5842
K 7.1548 5.6672 0.0000
K 5.6672 1.3932 0.0000
K 1.3932 2.8808 0.0000
K 2.8808 7.1548 0.0000
Se 0.0000 0.0000 0.0000
Se 4.2740 4.2740 0.0000
CELL_PARAMETERS angstrom
8.5480 0.0000 0.0000
0.0000 8.5480 0.0000
0.0000 0.0000 7.1683
```



VASP calculation (PBE) on KBa3Se4 after structural relaxation. Values from VASP.

energy = -4.257 eV per atom
total magnetic moment = 0.9 μB/f.u.
formation energy from raw total energies = -13.26 eV per formula unit

Quantum ESPRESSO input file:
```
&SYSTEM
  ibrav = 0, nat = 8, ntyp = 3
/
ATOMIC_SPECIES
Se 78.96 Se.upf
K 39.10 K.upf
Ba 137.33 Ba.upf
ATOMIC_POSITIONS angstrom
Se -2.1656 1.7243 1.8705
Se -2.5426 -1.5478 -1.5170
Se -4.6246 -2.2304 2.6691
Se 0.0836 -2.4069 2.3156
K 0.0000 0.0000 0.0000
Ba -2.0820 -0.6826 4.1861
Ba -4.7083 0.1765 0.3535
Ba -2.4590 -3.9547 0.7985
CELL_PARAMETERS angstrom
-4.3312 3.4486 3.7410
-5.0853 -3.0956 -3.0340
0.1672 -4.8138 4.6311
```



VASP calculation (PBE) on K2BaSe after structural relaxation. Values from VASP.

energy = -2.729 eV per atom
total magnetic moment = 0.0 μB/f.u.
formation energy from raw total energies = -3.32 eV per formula unit

Quantum ESPRESSO input file:
```
&SYSTEM
  ibrav = 0, nat = 4, ntyp = 3
/
ATOMIC_SPECIES
Se 78.96 Se.upf
K 39.10 K.upf
Ba 137.33 Ba.upf
ATOMIC_POSITIONS angstrom
Se 0.1165 6.0047 1.1576
K 0.2195 11.3151 2.1813
K -2.2930 4.2070 -1.0094
Ba -2.2234 7.7917 -0.3183
CELL_PARAMETERS angstrom
-0.5800 0.7974 -4.0778
-4.1543 -0.0321 0.5846
0.2215 11.4213 2.2018
```



VASP calculation (PBE) on K2BaSe after structural relaxation. Values from VASP.

energy = -2.291 eV per atom
total magnetic moment = 0.0 μB/f.u.
formation energy from raw total energies = -1.56 eV per formula unit

Quantum ESPRESSO input file:
```
&SYSTEM
  ibrav = 0, nat = 4, ntyp = 3
/
ATOMIC_SPECIES
Se 78.96 Se.upf
Ba 137.33 Ba.upf
K 39.10 K.upf
ATOMIC_POSITIONS angstrom
Se 9.3594 5.4037 3.8210
Ba 6.2396 3.6024 2.5473
K 3.1198 1.8012 1.2737
K 0.0000 0.0000 0.0000
CELL_PARAMETERS angstrom
6.2396 0.0000 0.0000
3.1198 5.4037 0.0000
3.1198 1.8012 5.0946
```



VASP calculation (PBE) on K2BaSe after structural relaxation. Values from VASP.

energy = -2.319 eV per atom
total magnetic moment = 1.4 μB/f.u.
formation energy from raw total energies = -1.67 eV per formula unit

Quantum ESPRESSO input file:
```
&SYSTEM
  ibrav = 0, nat = 4, ntyp = 3
/
ATOMIC_SPECIES
K 39.10 K.upf
Se 78.96 Se.upf
Ba 137.33 Ba.upf
ATOMIC_POSITIONS angstrom
K 1.3225 3.1399 1.8848
K 0.0000 0.0000 0.0000
Se 4.7296 3.1389 0.0000
Ba 3.4070 -0.0010 1.8848
CELL_PARAMETERS angstrom
6.8141 -0.0020 0.0000
2.6451 6.2797 0.0000
-4.7296 -3.1389 3.7696
```



VASP calculation (PBE) on K2BaSe after structural relaxation. Values from VASP.

energy = -2.670 eV per atom
total magnetic moment = 0.0 μB/f.u.
formation energy from raw total energies = -3.08 eV per formula unit

Quantum ESPRESSO input file:
```
&SYSTEM
  ibrav = 0, nat = 4, ntyp = 3
/
ATOMIC_SPECIES
Ba 137.33 Ba.upf
Se 78.96 Se.upf
K 39.10 K.upf
ATOMIC_POSITIONS angstrom
Ba 4.9726 -9.8331 1.7919
Se 1.0835 -4.2175 -0.6498
K 0.7991 -1.1511 0.4996
K 3.0901 -4.4645 1.9421
CELL_PARAMETERS angstrom
-1.7222 -2.8195 -3.7414
6.3400 -4.7072 0.6291
1.4383 -6.5239 4.2543
```



VASP calculation (PBE) on KBa3Se after structural relaxation. Values from VASP.

energy above the most stable polymorph in this dataset = 1.151 eV/atom
energy = -1.596 eV per atom
total magnetic moment = 2.9 μB/f.u.
formation energy from raw total energies = 2.37 eV per formula unit

Quantum ESPRESSO input file:
```
&SYSTEM
  ibrav = 0, nat = 5, ntyp = 3
/
ATOMIC_SPECIES
Ba 137.33 Ba.upf
K 39.10 K.upf
Se 78.96 Se.upf
ATOMIC_POSITIONS angstrom
Ba 3.0929 -0.3327 -1.2280
Ba -0.0708 -3.2679 0.7071
Ba 1.2703 0.6279 3.0293
K 0.0000 0.0000 0.0000
Se 4.2923 -2.9728 2.5084
CELL_PARAMETERS angstrom
-0.1417 -6.5359 1.4142
6.1857 -0.6655 -2.4560
2.5406 1.2558 6.0585
```



VASP calculation (PBE) on K2BaSe after structural relaxation. Values from VASP.

energy = -2.765 eV per atom
total magnetic moment = 0.0 μB/f.u.
formation energy from raw total energies = -3.46 eV per formula unit

Quantum ESPRESSO input file:
```
&SYSTEM
  ibrav = 0, nat = 4, ntyp = 3
/
ATOMIC_SPECIES
Se 78.96 Se.upf
K 39.10 K.upf
Ba 137.33 Ba.upf
ATOMIC_POSITIONS angstrom
Se -1.9020 -1.9141 6.1199
K -1.9104 -3.3241 2.9349
K -4.3546 -1.8970 10.1171
Ba -2.6002 -5.0403 6.7559
CELL_PARAMETERS angstrom
-2.8869 -2.7574 -1.7596
2.4231 -3.5038 1.5152
-4.6060 -1.6649 10.1658
```



VASP calculation (PBE) on K2BaSe after structural relaxation. Values from VASP.

energy = -2.607 eV per atom
total magnetic moment = 0.0 μB/f.u.
formation energy from raw total energies = -2.82 eV per formula unit

Quantum ESPRESSO input file:
```
&SYSTEM
  ibrav = 0, nat = 8, ntyp = 3
/
ATOMIC_SPECIES
Se 78.96 Se.upf
Ba 137.33 Ba.upf
K 39.10 K.upf
ATOMIC_POSITIONS angstrom
Se -9.8165 -8.7773 -1.5377
Se -7.6839 -3.1727 -0.4371
Ba -12.7175 -2.3637 2.9063
Ba 0.0000 0.0000 0.0000
K -18.2057 -7.9149 1.5456
K -7.6424 -0.7889 1.9391
K -11.7533 -7.2103 0.7260
K -7.4666 -6.3680 -1.4733
CELL_PARAMETERS angstrom
-10.5849 3.2409 4.0068
-4.7828 -9.5863 -4.8811
-7.1662 -4.7956 2.2429
```